1.
Below is an optimized crystal structure of ZrZn2Cr, with properties calculated at the PBE level.

Lattice parameters (Å, degrees): 3.535 4.238 8.473 90.00 90.00 90.00
Space group Cmm2 (No. 35)
Asymmetric unit:
Zr: 0.000 0.000 0.000 x2
Zn: 0.000 0.000 0.520 x2
Zn: 0.000 0.500 0.280 x2
Cr: 0.000 0.500 0.743 x2

## Properties
For the energy relative to the lowest polymorph listed for this composition, the calculation gives 192 meV per atom. The value obtained for the volume is 15.9 A^3/atom. As for the formation energy: 181.3 meV per atom.



2.
Below is an optimized crystal structure of Zr2ZnCr, with properties calculated at the PBE level.

Lattice parameters (Å, degrees): 3.2441 3.2441 25.0448 90.00 90.00 120.00
Space group R-3m (No. 166, hexagonal axes)
Asymmetric unit:
Zr: 0.0000 0.0000 0.2429 x6
Zn: 0.0000 0.0000 0.0000 x3
Cr: 0.0000 0.0000 0.5000 x3

## Properties
The value obtained for the volume is 19.0 A^3/atom. As for the formation energy: 203.1 meV per atom.



3.
Below is an optimized crystal structure of ZrZn2Cr, with properties calculated at the PBE level.

Lattice parameters (Å, degrees): 2.746 3.944 5.778 90.00 90.00 90.00
Space group Pmmm (No. 47)
Asymmetric unit:
Zr: 0.000 0.000 0.000 x1
Zn: 0.500 0.500 0.283 x2
Cr: 0.000 0.000 0.500 x1

## Properties
For the energy relative to the lowest polymorph listed for this composition, the calculation gives 61 meV per atom. The value obtained for the volume is 15.6 A^3/atom. As for the formation energy: 50.0 meV per atom.



4.
Below is an optimized crystal structure of ZrZn2Cr, with properties calculated at the PBE level.

Lattice parameters (Å, degrees): 3.147 3.147 6.660 90.00 90.00 90.00
Space group P4/mmm (No. 123)
Asymmetric unit:
Zr: 0.000 0.000 0.000 x1
Zn: 0.500 0.500 0.285 x2
Cr: 0.000 0.000 0.500 x1

## Properties
For the energy relative to the lowest polymorph listed for this composition, the calculation gives 31 meV per atom. The value obtained for the volume is 16.5 A^3/atom. As for the formation energy: 20.3 meV per atom.



5.
Below is an optimized crystal structure of ZrZn2Cr, with properties calculated at the PBE level.

Lattice parameters (Å, degrees): 2.9673 2.9673 27.1003 90.00 90.00 120.00
Space group R3m (No. 160, hexagonal axes)
Asymmetric unit:
Zr: 0.0000 0.0000 0.0000 x3
Zn: 0.0000 0.0000 0.2427 x3
Zn: 0.0000 0.0000 0.4960 x3
Cr: 0.0000 0.0000 0.7525 x3

## Properties
For the energy relative to the lowest polymorph listed for this composition, the calculation gives 276 meV per atom. The value obtained for the volume is 17.2 A^3/atom. As for the formation energy: 265.5 meV per atom.



6.
Below is an optimized crystal structure of ZrZn2Cr, with properties calculated at the PBE level.

Lattice parameters (Å, degrees): 5.573 7.776 3.056 90.00 90.00 90.00
Space group Cmmm (No. 65)
Asymmetric unit:
Zr: 0.000 0.000 0.000 x2
Zn: 0.250 0.250 0.500 x4
Cr: 0.000 0.500 0.000 x2

## Properties
For the energy relative to the lowest polymorph listed for this composition, the calculation gives 109 meV per atom. The value obtained for the volume is 16.6 A^3/atom. As for the formation energy: 97.7 meV per atom.



7.
Below is an optimized crystal structure of ZrZn2Cr, with properties calculated at the PBE level.

Lattice parameters (Å, degrees): 2.8010 2.8010 28.1372 90.00 90.00 120.00
Space group R-3m (No. 166, hexagonal axes)
Asymmetric unit:
Zr: 0.0000 0.0000 0.0000 x3
Zn: 0.0000 0.0000 0.2414 x6
Cr: 0.0000 0.0000 0.5000 x3

## Properties
For the energy relative to the lowest polymorph listed for this composition, the calculation gives 281 meV per atom. The value obtained for the volume is 15.9 A^3/atom. As for the formation energy: 270.2 meV per atom.



8.
Below is an optimized crystal structure of ZrZn11Cr, with properties calculated at the PBE level.

Lattice parameters (Å, degrees): 5.239 12.361 6.650 90.00 112.11 90.00
Space group C2/m (No. 12)
Asymmetric unit:
Zr: 0.000 0.000 0.000 x2
Zn: 0.000 0.500 0.500 x2
Zn: 0.109 0.394 0.212 x8
Zn: 0.163 0.173 0.351 x8
Zn: 0.250 0.250 0.000 x4
Cr: 0.000 0.000 0.500 x2

## Properties
The value obtained for the volume is 15.3 A^3/atom. As for the formation energy: -48.1 meV per atom.



9.
Below is an optimized crystal structure of Zr4ZnCr, with properties calculated at the PBE level.

Lattice parameters (Å, degrees): 8.070 8.070 8.070 90.00 90.00 90.00
Space group F-43m (No. 216)
Asymmetric unit:
Zr: 0.124 0.124 0.124 x16
Zn: 0.000 0.000 0.500 x4
Cr: 0.250 0.250 0.750 x4

## Properties
The value obtained for the volume is 21.9 A^3/atom. As for the formation energy: 552.6 meV per atom.



10.
Below is an optimized crystal structure of ZrZn2Cr, with properties calculated at the PBE level.

Lattice parameters (Å, degrees): 4.126 3.061 10.696 90.00 90.00 90.00
Space group Amm2 (No. 38)
Asymmetric unit:
Zr: 0.000 0.000 0.000 x2
Zn: 0.000 0.000 0.254 x2
Zn: 0.500 0.000 0.384 x2
Cr: 0.500 0.000 0.654 x2

## Properties
For the energy relative to the lowest polymorph listed for this composition, the calculation gives 79 meV per atom. The value obtained for the volume is 16.9 A^3/atom. As for the formation energy: 67.8 meV per atom.



11.
Below is an optimized crystal structure of ZrZn2Cr, with properties calculated at the PBE level.

Lattice parameters (Å, degrees): 3.951 3.951 4.166 90.00 90.00 90.00
Space group P4/mmm (No. 123)
Asymmetric unit:
Zr: 0.000 0.000 0.000 x1
Zn: 0.000 0.500 0.500 x2
Cr: 0.500 0.500 0.000 x1

## Properties
For the energy relative to the lowest polymorph listed for this composition, the calculation gives 45 meV per atom. The value obtained for the volume is 16.3 A^3/atom. As for the formation energy: 34.3 meV per atom.



12.
Below is an optimized crystal structure of Zr2ZnCr, with properties calculated at the PBE level.

Lattice parameters (Å, degrees): 4.003 4.003 19.299 90.00 90.00 90.00
Space group I-42d (No. 122)
Asymmetric unit:
Zr: 0.241 0.250 0.125 x8
Zn: 0.000 0.000 0.500 x4
Cr: 0.000 0.000 0.000 x4

## Properties
The value obtained for the volume is 19.3 A^3/atom. As for the formation energy: 724.1 meV per atom.



13.
Below is an optimized crystal structure of ZrZn2Cr, with properties calculated at the PBE level.

Lattice parameters (Å, degrees): 4.013 4.013 8.149 90.00 90.00 90.00
Space group I-4m2 (No. 119)
Asymmetric unit:
Zr: 0.000 0.000 0.000 x2
Zn: 0.000 0.000 0.500 x2
Zn: 0.000 0.500 0.250 x2
Cr: 0.000 0.500 0.750 x2

## Properties
For the energy relative to the lowest polymorph listed for this composition, the calculation gives 106 meV per atom. The value obtained for the volume is 16.4 A^3/atom. As for the formation energy: 94.8 meV per atom.



14.
Below is an optimized crystal structure of ZrZn2Cr, with properties calculated at the PBE level.

Lattice parameters (Å, degrees): 3.798 3.798 19.761 90.00 90.00 90.00
Space group I-42d (No. 122)
Asymmetric unit:
Zr: 0.000 0.000 0.000 x4
Zn: 0.228 0.250 0.625 x8
Cr: 0.000 0.000 0.500 x4

## Properties
For the energy relative to the lowest polymorph listed for this composition, the calculation gives 440 meV per atom. The value obtained for the volume is 17.8 A^3/atom. As for the formation energy: 428.8 meV per atom.



15.
Below is an optimized crystal structure of ZrZn2Cr, with properties calculated at the PBE level.

Lattice parameters (Å, degrees): 6.425 6.425 6.425 90.00 90.00 90.00
Space group Fm-3m (No. 225)
Asymmetric unit:
Zr: 0.000 0.000 0.000 x4
Zn: 0.250 0.250 0.250 x8
Cr: 0.000 0.000 0.500 x4

## Properties
For the energy relative to the lowest polymorph listed for this composition, the calculation gives 0 meV per atom. The value obtained for the volume is 16.6 A^3/atom. As for the formation energy: -10.8 meV per atom.



16.
Below is an optimized crystal structure of ZrZn2Cr, with properties calculated at the PBE level.

Lattice parameters (Å, degrees): 3.217 4.594 8.942 90.00 90.00 90.00
Space group Imm2 (No. 44)
Asymmetric unit:
Zr: 0.000 0.000 0.000 x2
Zn: 0.000 0.000 0.507 x2
Zn: 0.000 0.500 0.229 x2
Cr: 0.000 0.500 0.759 x2

## Properties
For the energy relative to the lowest polymorph listed for this composition, the calculation gives 101 meV per atom. The value obtained for the volume is 16.5 A^3/atom. As for the formation energy: 90.1 meV per atom.



17.
Below is an optimized crystal structure of Zr3ZnCr, with properties calculated at the PBE level.

Lattice parameters (Å, degrees): 4.818 4.818 4.818 90.00 90.00 90.00
Space group Pm-3m (No. 221)
Asymmetric unit:
Zr: 0.000 0.000 0.500 x3
Zn: 0.500 0.500 0.500 x1
Cr: 0.000 0.000 0.000 x1

## Properties
For the energy relative to the lowest polymorph listed for this composition, the calculation gives 0 meV per atom. The value obtained for the volume is 22.4 A^3/atom. As for the formation energy: 545.7 meV per atom.



18.
Below is an optimized crystal structure of ZrZn2Cr, with properties calculated at the PBE level.

Lattice parameters (Å, degrees): 3.991 3.991 8.067 90.00 90.00 90.00
Space group I4/mmm (No. 139)
Asymmetric unit:
Zr: 0.000 0.000 0.000 x2
Zn: 0.000 0.500 0.250 x4
Cr: 0.000 0.000 0.500 x2

## Properties
For the energy relative to the lowest polymorph listed for this composition, the calculation gives 7 meV per atom. The value obtained for the volume is 16.1 A^3/atom. As for the formation energy: -3.6 meV per atom.



19.
Below is an optimized crystal structure of ZrCr2, with properties calculated at the PBE level.

Lattice parameters (Å, degrees): 3.022 3.022 9.878 90.00 90.00 90.00
Space group I4/mmm (No. 139)
Asymmetric unit:
Zr: 0.000 0.000 0.000 x2
Cr: 0.000 0.000 0.312 x4

## Properties
The value obtained for the volume is 15.0 A^3/atom. As for the formation energy: 166.5 meV per atom.



20.
Below is an optimized crystal structure of ZrCr5, with properties calculated at the PBE level.

Lattice parameters (Å, degrees): 6.913 6.913 6.913 90.00 90.00 90.00
Space group F-43m (No. 216)
Asymmetric unit:
Zr: 0.000 0.000 0.000 x4
Cr: 0.125 0.125 0.375 x16
Cr: 0.250 0.250 0.750 x4

## Properties
For the energy relative to the lowest polymorph listed for this composition, the calculation gives 30 meV per atom. The value obtained for the volume is 13.8 A^3/atom. As for the formation energy: 147.0 meV per atom.



Let's list D(E_F) in order: 3.90; 13.33; 2.41; 3.43; 7.59; 5.10; 8.63; 9.99; 23.33; 5.54; 4.17; 19.74; 5.43; 15.91; 10.91; 4.90; 6.62; 6.23; 4.92; 28.54 states/eV per cell.
Let's list density in order: 7.17; 6.54; 7.27; 6.90; 6.61; 6.87; 7.14; 7.18; 6.10; 6.74; 7.00; 6.44; 6.94; 6.39; 6.86; 6.89; 5.81; 7.08; 7.19; 7.06 g cm⁻³.